Material: CsHfFe2
Method: DFT, SCAN
State: PBEsol geometry

E (Ry per atom): -2.400
DOS at the Fermi energy (states/eV per cell): 3.009

Unit cell a=4.7015 b=4.7015 c=4.7015 alpha=60.00 beta=60.00 gamma=60.00
Positions (direct):
1 Fe 0.7500 0.7500 0.7500
2 Fe 0.2500 0.2500 0.2500
3 Cs 0.0000 0.0000 0.0000
4 Hf 0.5000 0.5000 0.5000

***

Material: Cs2LiFeHg
Method: DFT, SCAN
State: PBEsol geometry

E (Ry per atom): -2.378
DOS at the Fermi energy (states/eV per cell): 3.426

Unit cell a=5.0204 b=7.0076 c=7.0076 alpha=90.00 beta=90.00 gamma=90.00
Positions (direct):
1 Fe 0.5000 0.0000 0.0000
2 Cs 0.0000 0.5000 0.0000
3 Cs 0.0000 0.0000 0.5000
4 Li 0.5000 0.5000 0.5000
5 Hg 0.0000 0.0000 0.0000

***

Material: CsFe3I
Method: DFT, SCAN
State: PBEsol geometry

E (Ry per atom): -1.786
Formation energy (no corrections) (kJ/mol of atoms): 143.20
DOS at the Fermi energy (states/eV per cell): 1.377

Unit cell a=4.8477 b=4.8477 c=4.8477 alpha=90.00 beta=90.00 gamma=90.00
Positions (direct):
1 Cs 0.5000 0.5000 0.5000
2 Fe 0.5000 0.0000 0.0000
3 Fe 0.0000 0.0000 0.5000
4 Fe 0.0000 0.5000 0.0000
5 I 0.0000 0.0000 0.0000

***

Material: CsFe2SeI
Method: DFT, SCAN
State: PBEsol geometry

E (Ry per atom): -1.789
Formation energy (no corrections) (kJ/mol of atoms): 177.60
DOS at the Fermi energy (states/eV per cell): 6.293

Unit cell a=5.4421 b=5.3644 c=5.3644 alpha=90.00 beta=90.00 gamma=90.00
Positions (direct):
1 Se 0.5000 0.0000 0.0000
2 I 0.5000 0.5000 0.5000
3 Fe 0.0000 0.5000 0.0000
4 Fe 0.0000 0.0000 0.5000
5 Cs 0.0000 0.0000 0.0000

***

Material: CsFeIr2
Method: DFT, SCAN
State: PBEsol geometry

E (Ry per atom): -3.512
DOS at the Fermi energy (states/eV per cell): 2.415

Unit cell a=4.6578 b=4.6578 c=4.6578 alpha=60.00 beta=60.00 gamma=60.00
Positions (direct):
1 Cs 0.5000 0.5000 0.5000
2 Ir 0.2500 0.2500 0.2500
3 Ir 0.7500 0.7500 0.7500
4 Fe 0.0000 0.0000 0.0000

***

Material: CsLaSc2Fe
Method: DFT, SCAN
State: PBEsol geometry

E (Ry per atom): -1.841
DOS at the Fermi energy (states/eV per cell): 5.202

Unit cell a=5.1354 b=5.1354 c=5.2372 alpha=90.00 beta=90.00 gamma=90.00
Positions (direct):
1 La 0.0000 0.0000 0.5000
2 Sc 0.0000 0.5000 0.0000
3 Sc 0.5000 0.0000 0.0000
4 Fe 0.0000 0.0000 0.0000
5 Cs 0.5000 0.5000 0.5000

***

Material: CsMgFeRe2
Method: DFT, SCAN
State: PBEsol geometry

E (Ry per atom): -2.870
DOS at the Fermi energy (states/eV per cell): 3.304

Unit cell a=4.5082 b=4.5082 c=5.1210 alpha=90.00 beta=90.00 gamma=90.00
Positions (direct):
1 Cs 0.5000 0.5000 0.5000
2 Re 0.5000 0.0000 0.0000
3 Re 0.0000 0.5000 0.0000
4 Mg 0.0000 0.0000 0.5000
5 Fe 0.0000 0.0000 0.0000

***

Material: Cs4FeMo3O12
Method: DFT, SCAN
State: PBEsol geometry

E (Ry per atom): -1.443
Formation energy (no corrections) (kJ/mol of atoms): -211.59
DOS at the Fermi energy (states/eV per cell): 2.244

Unit cell a=6.1903 b=6.1904 c=24.2292 alpha=90.00 beta=90.01 gamma=60.00
Positions (direct):
1 O 0.6668 0.6667 0.3427
2 O 0.1530 0.6897 0.0694
3 O 0.9999 0.0001 0.3321
4 O 0.1529 0.6923 0.4315
5 O 0.3078 0.8469 0.9315
6 O 0.8428 0.3103 0.5694
7 O 0.1075 0.2522 0.7479
8 O 0.0001 0.0000 0.1671
9 O 0.0001 0.0000 0.6671
10 O 0.1547 0.1531 0.4315
11 O 0.8452 0.3077 0.9315
12 O 0.3596 0.7478 0.2479
13 O 0.8470 0.8451 0.9315
14 O 0.0000 0.9999 0.8321
15 O 0.2522 0.6403 0.7478
16 O 0.8925 0.3597 0.2478
17 O 0.8470 0.8429 0.5694
18 O 0.6899 0.1571 0.0694
19 O 0.3101 0.8472 0.5693
20 O 0.7478 0.8925 0.2478
21 O 0.6403 0.1075 0.7478
22 O 0.6922 0.1549 0.4315
23 O 0.3335 0.3333 0.8427
24 O 0.1573 0.1528 0.0693
25 Cs 0.6666 0.6668 0.6637
26 Cs 0.3333 0.3334 0.5284
27 Cs 0.6666 0.6666 0.8414
28 Cs 0.3334 0.3332 0.9685
29 Cs 0.3334 0.3332 0.1637
30 Cs 0.6667 0.6666 0.0284
31 Cs 0.6666 0.6668 0.4685
32 Cs 0.3332 0.3334 0.3414
33 Mo 0.3334 0.3333 0.7713
34 Mo 0.6667 0.6667 0.2713
35 Mo 0.0000 0.0001 0.5931
36 Mo 0.0000 0.9999 0.9064
37 Mo 0.9999 0.0001 0.4064
38 Mo 0.0001 0.9999 0.0931
39 Fe 0.0000 0.0000 0.7493
40 Fe 0.0000 0.0000 0.2493

***

Material: CsFeN2O
Method: DFT, SCAN
State: PBEsol geometry

E (Ry per atom): -1.002
Formation energy (no corrections) (kJ/mol of atoms): 242.41
DOS at the Fermi energy (states/eV per cell): 2.618

Unit cell a=4.3409 b=4.3409 c=4.2193 alpha=90.00 beta=90.00 gamma=90.00
Positions (direct):
1 N 0.0000 0.5000 0.0000
2 N 0.5000 0.0000 0.0000
3 Fe 0.5000 0.5000 0.5000
4 Cs 0.0000 0.0000 0.0000
5 O 0.0000 0.0000 0.5000

***

Material: CsNa2Fe
Method: DFT, SCAN
State: PBEsol geometry

E (Ry per atom): -1.124
DOS at the Fermi energy (states/eV per cell): 7.690

Unit cell a=5.8022 b=5.8022 c=5.8022 alpha=60.00 beta=60.00 gamma=60.00
Positions (direct):
1 Fe 0.0000 0.0000 0.0000
2 Cs 0.5000 0.5000 0.5000
3 Na 0.2500 0.2500 0.2500
4 Na 0.7500 0.7500 0.7500

***

Material: Cs3NaFe
Method: DFT, SCAN
State: PBEsol geometry

E (Ry per atom): -1.928
DOS at the Fermi energy (states/eV per cell): 13.960

Unit cell a=7.3845 b=7.3845 c=7.3845 alpha=90.00 beta=90.00 gamma=90.00
Positions (direct):
1 Cs 0.5000 0.0000 0.0000
2 Cs 0.0000 0.0000 0.5000
3 Cs 0.0000 0.5000 0.0000
4 Na 0.0000 0.0000 0.0000
5 Fe 0.5000 0.5000 0.5000

***

Question: What is the formula in the second record?
Answer: Cs2LiFeHg